# 1
Computed, not measured: a relaxed PmMgF5 crystal at the PBE-GGA level of DFT.

## Properties
The total moment is 0.0 Bohr magnetons per cell. For the calculated density, the calculation gives 4.4 g/cm³.

a b c (Å): 8.950 6.472 7.514
angles (deg): 90.00 114.77 90.00
Space group C2/c (No. 15)
One atom of each set of equivalent atoms:
Pm 0.000 0.062 0.250 (multiplicity 4)
Mg 0.000 0.500 0.000 (multiplicity 4)
F 0.000 0.419 0.250 (multiplicity 4)
F 0.009 0.198 0.964 (multiplicity 8)
F 0.234 0.483 0.620 (multiplicity 8)

***

# 2
Computed, not measured: a relaxed MgTe2Pt2F2 crystal at the PBE-GGA level of DFT.

## Properties
The total moment is 0.0 Bohr magnetons per cell. For the calculated density, the calculation gives 9.3 g/cm³.

a b c (Å): 3.747 3.747 9.021
angles (deg): 90.00 90.00 90.00
Space group P-4m2 (No. 115)
One atom of each set of equivalent atoms:
Mg 0.000 0.000 0.000 (multiplicity 1)
Te 0.000 0.500 0.764 (multiplicity 2)
Pt 0.000 0.500 0.312 (multiplicity 2)
F 0.000 0.000 0.500 (multiplicity 1)
F 0.500 0.500 0.500 (multiplicity 1)

***

# 3
Computed, not measured: a relaxed MgTcF6 crystal at the PBE-GGA level of DFT.

## Properties
The total moment is 3.0 Bohr magnetons per cell. For the calculated density, the calculation gives 4.5 g/cm³.

a b c (Å): 4.711 4.721 5.240
angles (deg): 63.52 63.43 60.19
Space group P-1 (No. 2)
One atom of each set of equivalent atoms:
Mg 0.000 0.000 0.000 (multiplicity 1)
Tc 0.500 0.500 0.500 (multiplicity 1)
F 0.079 0.750 0.750 (multiplicity 2)
F 0.250 0.581 0.248 (multiplicity 2)
F 0.419 0.081 0.750 (multiplicity 2)

***

# 4
Computed, not measured: a relaxed MgZrF6 crystal at the PBE-GGA level of DFT.

## Properties
The total moment is 0.0 Bohr magnetons per cell. For the calculated density, the calculation gives 3.1 g/cm³.

a b c (Å): 7.868 7.868 7.868
angles (deg): 90.00 90.00 90.00
Space group Fm-3m (No. 225)
One atom of each set of equivalent atoms:
Mg 0.000 0.000 0.000 (multiplicity 4)
Zr 0.000 0.000 0.500 (multiplicity 4)
F 0.000 0.000 0.245 (multiplicity 24)

***

# 5
Computed, not measured: a relaxed Nb2N3F crystal at the PBE-GGA level of DFT.

## Properties
The total moment is 0.3 Bohr magnetons per cell. For the calculated density, the calculation gives 5.8 g/cm³.

a b c (Å): 5.3789 5.3789 2.8085
angles (deg): 90.00 90.00 120.00
Space group P6/mmm (No. 191)
One atom of each set of equivalent atoms:
Nb 0.3333 0.6667 0.0000 (multiplicity 2)
N 0.0000 0.5000 0.5000 (multiplicity 3)
F 0.0000 0.0000 0.5000 (multiplicity 1)

***

# 6
Computed, not measured: a relaxed NbTe2NF6 crystal at the PBE-GGA level of DFT.

## Properties
The total moment is 0.0 Bohr magnetons per cell. For the calculated density, the calculation gives 5.2 g/cm³.

a b c (Å): 9.950 5.677 5.376
angles (deg): 90.00 90.46 90.00
Space group C2/m (No. 12)
One atom of each set of equivalent atoms:
Nb 0.000 0.000 0.000 (multiplicity 2)
Te 0.183 0.500 0.422 (multiplicity 4)
N 0.000 0.500 0.500 (multiplicity 2)
F 0.081 0.000 0.328 (multiplicity 4)
F 0.126 0.240 0.903 (multiplicity 8)

***

# 7
Computed, not measured: a relaxed Nb4TlN5F crystal at the PBE-GGA level of DFT.

## Properties
The total moment is 0.3 Bohr magnetons per cell. For the calculated density, the calculation gives 7.2 g/cm³.

a b c (Å): 4.141 4.141 8.952
angles (deg): 90.00 90.00 90.00
Space group P4/mmm (No. 123)
One atom of each set of equivalent atoms:
Nb 0.000 0.000 0.240 (multiplicity 2)
Nb 0.000 0.500 0.500 (multiplicity 2)
Tl 0.500 0.500 0.000 (multiplicity 1)
N 0.000 0.500 0.263 (multiplicity 4)
N 0.500 0.500 0.500 (multiplicity 1)
F 0.000 0.000 0.000 (multiplicity 1)

***

# 8
Computed, not measured: a relaxed PrNdNF crystal at the PBE-GGA level of DFT.

## Properties
The total moment is 0.0 Bohr magnetons per cell. For the calculated density, the calculation gives 7.6 g/cm³.

a b c (Å): 3.5621 3.5621 12.6405
angles (deg): 90.00 90.00 120.00
Space group P-6m2 (No. 187)
One atom of each set of equivalent atoms:
Pr 0.0000 0.0000 0.1427 (multiplicity 2)
Nd 0.6667 0.3333 0.3580 (multiplicity 2)
N 0.3333 0.6667 0.2542 (multiplicity 2)
F 0.0000 0.0000 0.5000 (multiplicity 1)
F 0.6667 0.3333 0.0000 (multiplicity 1)

***

| no. | E (eV per atom) |
| --- | --- |
| 1 | -6.06 |
| 2 | -3.84 |
| 3 | -5.48 |
| 4 | -6.32 |
| 5 | -8.56 |
| 6 | -5.32 |
| 7 | -8.40 |
| 8 | -6.88 |